BaPuTl2Br6 | GGA-PBE | relaxed

Values from the calculation:
Spin magnetization in μB per atom: 0.60
E in eV/atom: -4.50
Energy relative to the elements, uncorrected in eV per atom: -1.3962
DOS at the Fermi energy in states/eV/atom: 1.83

a = 7.9159 Å, b = 8.5573 Å, c = 13.9590 Å
α = 90.00°, β = 124.10°, γ = 90.00°
With the nearest neighbours (Å) after each atom.
Space group P2_1/c (No. 14)
Unique sites:
1 Ba 0.0000 0.0000 0.0000  6 Br 3.22-3.24
2 Pu 0.5000 0.0000 0.5000  6 Br 2.99-3.01
3 Tl 0.2866 0.0847 0.7526  6 Br 3.33-3.65
4 Br 0.1209 0.0503 0.2614  1 Pu 3.01, 1 Ba 3.24, 1 Tl 3.33
5 Br 0.2601 0.6812 0.0680  1 Pu 2.99, 1 Ba 3.22
6 Br 0.4001 0.1997 0.0694  1 Pu 3.00, 1 Ba 3.23